# GGA-PBE CuIrCl2, relaxed
# Excess energy over the best structure of this formula in the dataset ... 0.7840 eV per atom
# Raw formation energy ... 0.817 eV/atom
data_CuIrCl2
_symmetry_space_group_name_H-M 'F m -3 m'
_symmetry_Int_Tables_number 225
_symmetry_space_group_name_Hall '-F 4 2 3'
_cell_length_a 6.364
_cell_length_b 6.364
_cell_length_c 6.364
_cell_angle_alpha 90.00
_cell_angle_beta 90.00
_cell_angle_gamma 90.00
loop_
_atom_site_label
_atom_site_type_symbol
_atom_site_fract_x
_atom_site_fract_y
_atom_site_fract_z
Cu1 Cu 0.000 0.000 0.000
Ir1 Ir 0.000 0.000 0.500
Cl1 Cl 0.250 0.250 0.250